1.
12
Lattice="-1.394 4.156 0.413 -5.485 -1.166 -6.774 -4.598 -4.607 7.372" Properties=species:S:1:pos:R:3 comment="PBE Y6Sb2Te3Pb, optimized geometry" space_group="C2/m (12)" e_form_raw_mev_per_atom=-1185 pbc="T T T"
Y -8.555 -2.762 -1.079
Y -5.653 0.549 -1.133
Y -2.922 1.144 2.090
Y -1.360 -0.295 -1.622
Y -10.117 -1.323 2.634
Y -5.823 -2.166 2.145
Sb -7.880 -0.385 0.742
Sb -3.596 -1.233 0.269
Te -3.439 1.495 -3.180
Te -5.137 0.200 4.116
Te -6.339 -1.818 -3.104
Pb -0.697 2.078 0.207

2.
12
Lattice="4.326 0.000 0.000 0.000 8.974 0.305 -2.163 -2.596 9.292" Properties=species:S:1:pos:R:3 comment="PBE Y6Sb3TePb2, optimized geometry" space_group="C2/m (12)" e_form_raw_mev_per_atom=-971 pbc="T T T"
Y 0.000 6.534 6.446
Y 2.163 4.421 3.253
Y 2.163 -0.156 3.151
Y 0.000 2.299 0.083
Y 2.163 4.079 9.514
Y 0.000 1.957 6.344
Sb 2.163 4.487 0.152
Sb 2.163 -0.254 6.280
Sb 0.000 6.631 3.316
Te 2.163 0.000 0.000
Pb 2.163 4.256 6.396
Pb 0.000 2.122 3.200

3.
12
Lattice="4.394 0.000 0.000 0.000 8.812 0.324 -2.197 -2.530 9.236" Properties=species:S:1:pos:R:3 comment="PBE Y6Sb3Te2Pb, optimized geometry" space_group="C2/m (12)" e_form_raw_mev_per_atom=-1152 pbc="T T T"
Y 0.000 6.450 6.476
Y 2.197 4.369 3.219
Y 2.197 -0.167 3.085
Y 2.197 -0.325 9.280
Y 0.000 6.607 0.280
Y 0.000 1.914 6.341
Sb 2.197 4.406 0.162
Sb 2.197 -0.206 6.175
Sb 0.000 6.489 3.386
Te 2.197 4.171 6.356
Te 0.000 2.111 3.204
Pb 2.197 0.000 0.000

4.
5
Lattice="-0.143 5.359 1.851 -1.176 -1.894 5.393 5.554 -0.241 1.127" Properties=species:S:1:pos:R:3 comment="PBE Y2SbTePb, optimized geometry" space_group="P4/mmm (123)" e_form_raw_mev_per_atom=45 pbc="T T T"
Pb -0.588 -0.947 2.696
Sb 2.117 1.612 4.185
Te 0.000 0.000 0.000
Y 2.777 -0.121 0.563
Y -0.071 2.680 0.926

5.
5
Lattice="5.785 0.000 0.000 0.000 5.785 0.000 0.000 0.000 5.807" Properties=species:S:1:pos:R:3 comment="PBE YSb2TePb, optimized geometry" space_group="P4/mmm (123)" polymorph_energy_mev_per_atom=0 e_form_raw_mev_per_atom=95 pbc="T T T"
Pb 2.893 2.893 2.904
Sb 0.000 2.893 0.000
Sb 2.893 0.000 0.000
Te 0.000 0.000 2.904
Y 0.000 0.000 0.000

6.
5
Lattice="-2.383 -3.923 -3.692 2.580 -4.375 2.983 -4.763 -0.413 3.512" Properties=species:S:1:pos:R:3 comment="PBE ZnSbTe2Pb, optimized geometry" space_group="P4/mmm (123)" polymorph_energy_mev_per_atom=524 e_form_raw_mev_per_atom=766 pbc="T T T"
Pb 0.000 0.000 0.000
Sb -2.381 -0.206 1.756
Zn -2.283 -4.356 1.402
Te 1.290 -2.188 1.492
Te -1.192 -1.961 -1.846

7.
5
Lattice="-0.319 3.437 4.223 -2.737 -3.758 2.852 4.440 -1.841 1.834" Properties=species:S:1:pos:R:3 comment="PBE ZnSbTe2Pb, optimized geometry" space_group="P4/mmm (123)" polymorph_energy_mev_per_atom=0 e_form_raw_mev_per_atom=242 pbc="T T T"
Pb 0.692 -1.081 4.454
Sb 2.220 -0.921 0.917
Zn 0.000 0.000 0.000
Te -1.368 -1.879 1.426
Te -0.160 1.718 2.111

8.
12
Lattice="5.893 -0.003 -0.006 -0.003 5.888 -0.251 -2.956 -2.498 10.903" Properties=species:S:1:pos:R:3 comment="PBE Th4SbPb, optimized geometry" space_group="P2/m (10)" e_form_raw_mev_per_atom=-268 pbc="T T T"
Th 1.464 -1.097 9.195
Th 4.418 1.539 1.573
Th 1.470 4.485 1.450
Th -1.484 1.849 9.073
Th -1.479 -1.181 7.047
Th 1.467 1.626 3.727
Th 4.413 4.569 3.598
Th 1.466 1.762 6.919
Sb 1.468 -1.250 5.449
Sb -1.479 1.695 5.326
Pb 4.417 4.414 -0.193
Pb 1.473 1.471 -0.064

9.
10
Lattice="-1.220 -4.189 0.836 5.193 -4.882 -5.085 5.719 -2.823 5.998" Properties=species:S:1:pos:R:3 comment="PBE Th4SbPb5, optimized geometry" space_group="Immm (71)" e_form_raw_mev_per_atom=-315 pbc="T T T"
Th 5.267 -4.448 3.096
Th 1.298 -3.783 0.641
Th 7.785 -10.205 1.526
Th 5.036 -5.351 -1.765
Sb -0.305 -1.047 0.209
Pb 7.004 -7.322 3.031
Pb 2.263 -5.948 3.001
Pb 4.541 -6.994 1.083
Pb 6.820 -8.040 -0.834
Pb 2.079 -6.666 -0.864

10.
16
Lattice="6.471 0.000 0.000 0.000 8.194 -4.731 0.000 0.000 9.461" Properties=species:S:1:pos:R:3 comment="PBE Th10Sb3Pb3, optimized geometry" space_group="P-62m (189)" e_form_raw_mev_per_atom=-474 pbc="T T T"
Th 1.610 5.462 0.000
Th 1.610 2.731 4.731
Th 4.861 2.731 4.731
Th 4.861 5.462 0.000
Th 3.235 0.000 7.048
Th 3.235 6.104 -3.524
Th 3.235 2.090 1.207
Th 0.000 0.000 2.422
Th 0.000 2.098 -1.211
Th 0.000 6.096 3.519
Sb 0.000 0.000 5.818
Sb 0.000 5.039 -2.909
Sb 0.000 3.155 1.821
Pb 3.235 0.000 3.667
Pb 3.235 3.176 -1.833
Pb 3.235 5.018 2.897

11.
14
Lattice="4.643 0.000 0.000 -2.321 5.689 0.000 0.000 0.000 17.031" Properties=species:S:1:pos:R:3 comment="PBE Th4Sb2Pb, optimized geometry" space_group="Cmcm (63)" e_form_raw_mev_per_atom=-466 pbc="T T T"
Th 2.321 3.850 2.126
Th 2.321 3.850 6.389
Th 0.000 1.839 14.905
Th 0.000 1.839 10.641
Th 2.321 4.069 12.773
Th 0.000 1.620 4.258
Th 2.321 0.000 0.000
Th 2.321 0.000 8.515
Sb 0.000 1.809 7.358
Sb 2.321 3.880 15.873
Sb 0.000 1.809 1.158
Sb 2.321 3.880 9.673
Pb 2.321 0.703 12.773
Pb 0.000 4.986 4.258

12.
4
Lattice="-2.734 3.457 1.157 -1.771 -4.098 -0.913 2.743 -0.288 7.344" Properties=species:S:1:pos:R:3 comment="PBE Th2SbPb, optimized geometry" space_group="R-3m (166)" polymorph_energy_mev_per_atom=0 e_form_raw_mev_per_atom=-585 pbc="T T T"
Th 0.003 0.788 2.141
Th -1.765 -1.717 5.447
Sb 0.486 -2.193 3.216
Pb -2.252 -0.321 0.122